Below is a relaxed structure of Pm2ThGa3Rh4, with properties calculated at the PBE-GGA level.

Calculated values
- E_tot: -6.309 eV per atom
- Size of the total moment: 0.000 μB per cell

abc: 4.3441 4.3441 10.9393
angles: 90.00 90.00 90.00
With the nearest neighbours (Å) after each atom.
Space group P-4m2 (No. 115)
Asymmetric unit:
Pm (0.0000, 0.5000, 0.2114)  8 Rh 3.17-3.42, 4 Ga 3.24
Th (0.0000, 0.0000, 0.5000)  4 Rh 2.74
Ga (0.0000, 0.5000, 0.8833)  5 Rh 2.52-2.53
Ga (0.5000, 0.5000, 0.5000)  4 Rh 2.74
Rh (0.0000, 0.0000, 0.0000)  4 Ga 2.52
Rh (0.0000, 0.5000, 0.6521)  3 Ga 2.53-2.74, 2 Th 2.74
Rh (0.5000, 0.5000, 0.0000)  4 Ga 2.52